(1)
# Ti2CuS4

Crystalline Ti2CuS4 at its relaxed geometry (PBEsol, Alexandria).

The structure belongs to space group R-3m (No. 166, hexagonal axes); the cell edges are 6.9234, 6.9234 and 34.3332 Å and the angles 90.00°, 90.00° and 120.00°. The distinct sites, in fractional coordinates, are Ti at (0.0000, 0.0000, 0.0000), Ti at (0.0000, 0.0000, 0.5000), Ti at (0.0005, 0.5002, 0.0822), Cu at (0.0000, 0.0000, 0.1468), Cu at (0.0000, 0.0000, 0.3115), S at (0.0000, 0.0000, 0.2112), S at (0.0000, 0.0000, 0.3757), S at (0.0123, 0.5061, 0.2089) and S at (0.0174, 0.5087, 0.6229).

The energy relative to the elements, uncorrected comes out at -1.19 eV per atom.

---

(2)
# BaAl2

Crystalline BaAl2 at its relaxed geometry (PBEsol, Alexandria).

The structure belongs to space group Fd-3m (No. 227, origin choice 2); the cell edges are 8.425, 8.425 and 8.425 Å and the angles 90.00°, 90.00° and 90.00°. The distinct sites, in fractional coordinates, are Ba at (0.125, 0.125, 0.125) and Al at (0.000, 0.000, 0.500).

The formation enthalpy at 0 K is -225 meV/atom.

---

(3)
# Li2CrAsRu

Crystalline Li2CrAsRu at its relaxed geometry (PBEsol, Alexandria).

The structure belongs to space group P4/mmm (No. 123); the cell edges are 4.313, 4.313 and 4.468 Å and the angles 90.00°, 90.00° and 90.00°. The distinct sites, in fractional coordinates, are Li at (0.000, 0.500, 0.000), Cr at (0.000, 0.000, 0.000), As at (0.000, 0.000, 0.500) and Ru at (0.500, 0.500, 0.500).

The formation enthalpy at 0 K is 1111 meV/atom.

---

(4)
# LiCu4Hg

Crystalline LiCu4Hg at its relaxed geometry (PBEsol, Alexandria).

The structure belongs to space group F-43m (No. 216); the cell edges are 6.875, 6.875 and 6.875 Å and the angles 90.00°, 90.00° and 90.00°. The distinct sites, in fractional coordinates, are Li at (0.000, 0.000, 0.000), Cu at (0.125, 0.125, 0.375) and Hg at (0.250, 0.250, 0.750).

The formation enthalpy at 0 K is -43 meV/atom.

---

Number 1: total magnetization 0.5 μB per formula unit, final energy -6.697 eV per atom, theoretical density 4.020 g cm⁻³. Number 2: total magnetization 0.0 μB per formula unit, final energy -3.669 eV per atom, theoretical density 4.250 g cm⁻³. Number 3: total magnetization 5.1 μB per formula unit, final energy -4.780 eV per atom, theoretical density 4.832 g cm⁻³. Number 4: total magnetization 0.0 μB per formula unit, final energy -3.355 eV per atom, theoretical density 9.437 g cm⁻³.